# 1
Here is a relaxed structure of NpZnRuPt from Alexandria. Energies are from PBE.

Cell: 4.6126 4.6126 4.6126 Å, 60.00 60.00 60.00°
Closest atoms and distances in Å follow each position.
Fractional positions:
Np1 0.0000 0.0000 0.0000  4 Ru 2.82, 4 Pt 2.82
Zn1 0.5000 0.5000 0.5000  4 Ru 2.82, 4 Pt 2.82
Ru1 0.7500 0.7500 0.7500  4 Np 2.82, 4 Zn 2.82
Pt1 0.2500 0.2500 0.2500  4 Np 2.82, 4 Zn 2.82

ΔH_f (0 K): -0.26 eV/atom
Electronic total energy: -7.6460 eV per atom
Total magnetic moment: 0.742 μB per atom

=====

# 2
Here is a relaxed structure of NpPtS from Alexandria. Energies are from PBE.

Cell: 4.0614 4.0614 7.7172 Å, 99.51 99.51 80.35°
Closest atoms and distances in Å follow each position.
Fractional positions:
Np1 0.0662 0.0662 0.2503  4 S 2.77-2.78, 4 Pt 2.83-3.00
Np2 0.9338 0.9338 0.7497  4 S 2.77-2.78, 4 Pt 2.83-3.00
Pt1 0.3381 0.3381 0.5957  1 Pt 2.74, 4 Np 2.83-3.00
Pt2 0.6619 0.6619 0.4043  1 Pt 2.74, 4 Np 2.83-3.00
S1 0.0000 0.5000 0.0000  2 S 2.62, 4 Np 2.77-2.78
S2 0.5000 0.0000 0.0000  2 S 2.62, 4 Np 2.77-2.78

Formation energy without anion corrections: -58.82 kJ per mole of atoms
Electronic total energy: -8.3126 eV per atom
Total magnetic moment: 1.159 μB per atom

=====

# 3
Here is a relaxed structure of Np2Tl3PtS6 from Alexandria. Energies are from PBE.

Cell: 6.6700 6.6700 8.0225 Å, 97.66 97.66 120.84°
Closest atoms and distances in Å follow each position.
Fractional positions:
Np1 0.1673 0.8327 0.0000  6 S 2.68-2.71
Np2 0.8327 0.1673 0.0000  6 S 2.68-2.71
Tl1 0.0000 0.0000 0.5000  6 S 3.22-3.39
Tl2 0.3341 0.6659 0.5000  6 S 3.19-3.26
Tl3 0.6659 0.3341 0.5000  6 S 3.19-3.26
Pt1 0.5000 0.5000 0.0000  6 S 2.47-2.71
S1 0.1004 0.4338 0.8010  2 Np 2.68-2.70, 1 Pt 2.71
S2 0.2518 0.2518 0.1829  1 Pt 2.47, 2 Np 2.71
S3 0.4338 0.1004 0.8010  2 Np 2.68-2.70, 1 Pt 2.71
S4 0.5662 0.8996 0.1990  2 Np 2.68-2.70, 1 Pt 2.71
S5 0.7482 0.7482 0.8171  1 Pt 2.47, 2 Np 2.71
S6 0.8996 0.5662 0.1990  2 Np 2.68-2.70, 1 Pt 2.71

Formation energy without anion corrections: -70.15 kJ per mole of atoms
Electronic total energy: -6.0425 eV per atom
Total magnetic moment: 0.533 μB per atom

=====

Q: The lowest total magnetic moment belongs to which entry?
A: Np2Tl3PtS6